Entry from the Alexandria database: a relaxed PrIn2Hg4 crystal (PBE).

Cell lengths 5.018, 5.018, 7.505 Å; angles 90.00, 90.00, 90.00 degrees
Fractional positions:
Pr1 0.500 0.500 0.000
Hg1 0.500 0.000 0.279
Hg2 0.000 0.500 0.721
Hg3 0.500 0.000 0.721
Hg4 0.000 0.500 0.279
In1 0.000 0.000 0.000
In2 0.500 0.500 0.500

As for the space-group type: No. 123. The uncorrected energy is -1.88 eV/atom. As for the total magnetic moment: 0.00 μB per cell. For the volume, the calculation gives 27.00 Å³/atom.